1.
This record from Alexandria via LeMat-Bulk describes Nd6AlTl3 after structural relaxation. The functional is GGA-PBE.

Cell lengths 3.7636, 11.9375, 14.6745 Å; angles 106.53, 90.00, 90.00 degrees
Last column: nearest neighbours and their distance in Å.
Fractional positions:
Nd: 0.7500 0.5077 0.6786  4 Tl 3.19-3.46, 2 Nd 3.51
Nd: 0.2500 0.4923 0.3214  4 Tl 3.19-3.46, 2 Nd 3.51
Nd: 0.7500 0.8653 0.1354  2 Al 3.22, 5 Tl 3.37-3.50, 1 Nd 3.57
Nd: 0.2500 0.1347 0.8646  2 Al 3.22, 5 Tl 3.37-3.50, 1 Nd 3.57
Nd: 0.7500 0.3944 0.0849  4 Tl 3.24-3.29
Nd: 0.2500 0.6056 0.9151  4 Tl 3.24-3.29
Nd: 0.7500 0.7440 0.3317  2 Al 3.19, 3 Tl 3.31-3.33, 5 Nd 3.51-3.57
Nd: 0.2500 0.2560 0.6683  2 Al 3.19, 3 Tl 3.31-3.33, 5 Nd 3.51-3.57
Nd: 0.7500 0.1212 0.4616  2 Al 3.07, 2 Tl 3.37
Nd: 0.2500 0.8788 0.5384  2 Al 3.07, 2 Tl 3.37
Nd: 0.7500 0.8256 0.7586  1 Al 3.14, 2 Tl 3.31
Nd: 0.2500 0.1744 0.2414  1 Al 3.14, 2 Tl 3.31
Al: 0.7500 0.0448 0.6803  7 Nd 3.07-3.22
Al: 0.2500 0.9552 0.3197  7 Nd 3.07-3.22
Tl: 0.7500 0.3750 0.8587  8 Nd 3.24-3.45
Tl: 0.2500 0.6250 0.1413  8 Nd 3.24-3.45
Tl: 0.7500 0.6382 0.5168  6 Nd 3.19-3.46
Tl: 0.2500 0.3618 0.4832  6 Nd 3.19-3.46
Tl: 0.7500 0.1093 0.0482  2 Tl 3.20, 6 Nd 3.29-3.50
Tl: 0.2500 0.8907 0.9518  2 Tl 3.20, 6 Nd 3.29-3.50

Properties
- D(E_F): 19.637 states/eV per cell
- Space-group type: P2_1/m
- Total moment: 0.0 μB per cell

2.
This record from Alexandria via LeMat-Bulk describes Nd6AlTl3 after structural relaxation. The functional is GGA-PBE.

Cell lengths 5.4059, 9.6946, 11.9362 Å; angles 106.31, 90.00, 90.00 degrees
Last column: nearest neighbours and their distance in Å.
Fractional positions:
Nd: 0.2500 0.4687 0.0934  6 Tl 3.23-3.57
Nd: 0.7500 0.5313 0.9066  6 Tl 3.23-3.57
Nd: 0.2500 0.1250 0.1571  6 Nd 3.29-3.63, 3 Tl 3.39-3.52
Nd: 0.7500 0.8750 0.8429  6 Nd 3.29-3.63, 3 Tl 3.39-3.52
Nd: 0.2500 0.6651 0.6746  1 Al 3.12, 5 Tl 3.25-3.40
Nd: 0.7500 0.3349 0.3254  1 Al 3.12, 5 Tl 3.25-3.40
Nd: 0.2500 0.2316 0.5010  4 Tl 3.26-3.58, 3 Al 3.29-3.31
Nd: 0.7500 0.7684 0.4990  4 Tl 3.26-3.58, 3 Al 3.29-3.31
Nd: 0.2500 0.8543 0.3234  3 Al 3.25-3.26, 3 Tl 3.46-3.53
Nd: 0.7500 0.1457 0.6766  3 Al 3.25-3.26, 3 Tl 3.46-3.53
Nd: 0.2500 0.1010 0.8768  1 Al 3.12, 3 Tl 3.22-3.30, 3 Nd 3.29-3.43
Nd: 0.7500 0.8990 0.1232  1 Al 3.12, 3 Tl 3.22-3.30, 3 Nd 3.29-3.43
Al: 0.2500 0.9542 0.6079  8 Nd 3.12-3.31
Al: 0.7500 0.0458 0.3921  8 Nd 3.12-3.31
Tl: 0.2500 0.5273 0.3862  8 Nd 3.25-3.58, 2 Tl 3.63
Tl: 0.7500 0.4727 0.6138  8 Nd 3.25-3.58, 2 Tl 3.63
Tl: 0.2500 0.3812 0.7824  8 Nd 3.22-3.57
Tl: 0.7500 0.6188 0.2176  8 Nd 3.22-3.57
Tl: 0.2500 0.7715 0.9712  10 Nd 3.30-3.67
Tl: 0.7500 0.2285 0.0288  10 Nd 3.30-3.67

Properties
- D(E_F): 18.449 states/eV per cell
- Space-group type: P2_1/m
- Total moment: 0.0 μB per cell

Which structure loses on stability? 1 does.

1.
This record from Alexandria via LeMat-Bulk describes Nd5AlTl2 after structural relaxation. The functional is GGA-PBE.

Cell lengths 5.2996, 6.8925, 13.3776 Å; angles 90.00, 90.00, 90.00 degrees
Last column: nearest neighbours and their distance in Å.
Fractional positions:
Nd: 0.0000 0.0000 0.5000  4 Tl 3.43, 2 Al 3.45, 4 Nd 3.77
Nd: 0.0000 0.5000 0.0000  4 Tl 3.43, 2 Al 3.45, 4 Nd 3.77
Nd: 0.0000 0.8630 0.2204  1 Al 3.10, 2 Tl 3.26
Nd: 0.0000 0.1370 0.7796  1 Al 3.10, 2 Tl 3.26
Nd: 0.0000 0.6370 0.7204  1 Al 3.10, 2 Tl 3.26
Nd: 0.0000 0.3630 0.2796  1 Al 3.10, 2 Tl 3.26
Nd: 0.5000 0.6601 0.4029  2 Al 3.15, 2 Tl 3.26-3.38, 1 Nd 3.41
Nd: 0.5000 0.3399 0.5971  2 Al 3.15, 2 Tl 3.26-3.38, 1 Nd 3.41
Nd: 0.5000 0.8399 0.9029  2 Al 3.15, 2 Tl 3.26-3.38, 1 Nd 3.41
Nd: 0.5000 0.1601 0.0971  2 Al 3.15, 2 Tl 3.26-3.38, 1 Nd 3.41
Al: 0.0000 0.5000 0.5000  8 Nd 3.10-3.45
Al: 0.0000 0.0000 0.0000  8 Nd 3.10-3.45
Tl: 0.5000 0.6220 0.1508  9 Nd 3.26-3.64
Tl: 0.5000 0.3780 0.8492  9 Nd 3.26-3.64
Tl: 0.5000 0.8780 0.6508  9 Nd 3.26-3.64
Tl: 0.5000 0.1220 0.3492  9 Nd 3.26-3.64

Properties
- D(E_F): 14.003 states/eV per cell
- Space-group type: Pbam
- Total moment: 0.0 μB per cell

2.
This record from Alexandria via LeMat-Bulk describes Nd5AlTl2 after structural relaxation. The functional is GGA-PBE.

Cell lengths 8.7641, 8.7641, 8.9201 Å; angles 119.42, 119.42, 90.00 degrees
Last column: nearest neighbours and their distance in Å.
Fractional positions:
Nd: 0.5041 0.6862 0.6902  3 Tl 3.18-3.30, 1 Nd 3.32, 2 Al 3.52
Nd: 0.8138 0.9959 0.3098  3 Tl 3.18-3.30, 1 Nd 3.32, 2 Al 3.52
Nd: 0.0000 0.0000 0.0000  2 Al 3.21, 4 Tl 3.38
Nd: 0.5000 0.5000 0.0000  2 Al 3.21, 4 Tl 3.38
Nd: 0.1862 0.0041 0.6902  3 Tl 3.18-3.30, 1 Nd 3.32, 2 Al 3.52
Nd: 0.6862 0.1862 0.6902  3 Tl 3.18-3.30, 1 Nd 3.32, 2 Al 3.52
Nd: 0.0041 0.5041 0.6902  3 Tl 3.18-3.30, 1 Nd 3.32, 2 Al 3.52
Nd: 0.3138 0.8138 0.3098  3 Tl 3.18-3.30, 1 Nd 3.32, 2 Al 3.52
Nd: 0.9959 0.4959 0.3098  3 Tl 3.18-3.30, 1 Nd 3.32, 2 Al 3.52
Nd: 0.4959 0.3138 0.3098  3 Tl 3.18-3.30, 1 Nd 3.32, 2 Al 3.52
Al: 0.7500 0.7500 0.5000  10 Nd 3.21-3.52
Al: 0.2500 0.2500 0.5000  10 Nd 3.21-3.52
Tl: 0.1408 0.3592 0.0000  8 Nd 3.18-3.38, 1 Tl 3.49
Tl: 0.6408 0.1408 0.0000  8 Nd 3.18-3.38, 1 Tl 3.49
Tl: 0.3592 0.8592 0.0000  8 Nd 3.18-3.38, 1 Tl 3.49
Tl: 0.8592 0.6408 0.0000  8 Nd 3.18-3.38, 1 Tl 3.49

Properties
- D(E_F): 17.858 states/eV per cell
- Space-group type: I4/mcm
- Total moment: 0.0 μB per cell

Which structure loses on stability? 2 does.

1.
This record from Alexandria via LeMat-Bulk describes Nd4AlTl2 after structural relaxation. The functional is GGA-PBE.

Cell lengths 5.3827, 5.3827, 9.3254 Å; angles 73.23, 73.23, 60.00 degrees
Last column: nearest neighbours and their distance in Å.
Fractional positions:
Tl: 0.7517 0.7517 0.7449  8 Nd 3.26-3.37
Tl: 0.2483 0.2483 0.2551  8 Nd 3.26-3.37
Nd: 0.8752 0.8752 0.3744  4 Tl 3.26-3.28, 1 Al 3.29
Nd: 0.1248 0.1248 0.6256  4 Tl 3.26-3.28, 1 Al 3.29
Nd: 0.6238 0.6238 0.1286  4 Tl 3.30-3.37, 3 Al 3.31
Nd: 0.3762 0.3762 0.8714  4 Tl 3.30-3.37, 3 Al 3.31
Al: 0.0000 0.0000 0.0000  8 Nd 3.29-3.31

Properties
- D(E_F): 8.845 states/eV per cell
- Space-group type: R-3m
- Total moment: 0.0 μB per cell

2.
This record from Alexandria via LeMat-Bulk describes Nd4AlTl2 after structural relaxation. The functional is GGA-PBE.

Cell lengths 7.1763, 8.6240, 10.3133 Å; angles 135.58, 97.95, 96.10 degrees
Last column: nearest neighbours and their distance in Å.
Fractional positions:
Nd: 0.9341 0.1804 0.3960  2 Al 3.25-3.33, 3 Tl 3.37-3.59, 2 Nd 3.40-3.51
Nd: 0.5203 0.6526 0.3318  2 Al 3.18-3.25, 2 Nd 3.23-3.52, 3 Tl 3.32-3.54
Nd: 0.8889 0.7574 0.8527  2 Al 3.08-3.25, 3 Tl 3.20-3.35
Nd: 0.8072 0.1419 0.7526  3 Tl 3.19-3.24, 2 Nd 3.23-3.50, 1 Al 3.45
Nd: 0.3982 0.0553 0.1905  4 Tl 3.10-3.44, 1 Al 3.10
Nd: 0.2920 0.1272 0.8347  4 Tl 3.25-3.63, 3 Nd 3.33-3.52, 2 Al 3.34
Nd: 0.3651 0.6380 0.6547  2 Al 3.32, 3 Nd 3.33-3.66, 3 Tl 3.41-3.62
Nd: 0.0431 0.7175 0.2630  2 Al 3.15-3.19, 3 Tl 3.27-3.42, 1 Nd 3.40
Al: 0.9264 0.6306 0.4946  1 Tl 2.94, 1 Al 2.99, 4 Nd 3.08-3.25
Al: 0.1198 0.3097 0.1949  1 Tl 2.82, 1 Al 2.99, 1 Nd 3.10
Tl: 0.4487 0.1928 0.5677  4 Nd 3.10-3.42, 2 Tl 3.13-3.40
Tl: 0.6267 0.6358 0.0195  2 Tl 3.10-3.13, 5 Nd 3.26-3.44
Tl: 0.7067 0.2081 0.0828  2 Al 2.82-2.94
Tl: 0.1725 0.5026 0.8646  2 Tl 3.10-3.40, 7 Nd 3.19-3.47

Properties
- D(E_F): 12.612 states/eV per cell
- Space-group type: P1
- Total moment: 0.0 μB per cell

Which structure loses on stability? 1 does.

1.
This record from Alexandria via LeMat-Bulk describes NdTm2Al after structural relaxation. The functional is GGA-PBE.

Cell lengths 3.5511, 3.5511, 10.6798 Å; angles 80.43, 80.43, 60.00 degrees
Last column: nearest neighbours and their distance in Å.
Fractional positions:
Nd: 0.5004 0.5004 0.4988  6 Nd 3.55, 6 Tm 3.62-3.64
Tm: 0.0713 0.0713 0.7860  3 Al 3.05
Tm: 0.2620 0.2620 0.2140  3 Al 3.03
Al: 0.6663 0.6663 0.0011  6 Tm 3.03-3.05

Properties
- D(E_F): 4.968 states/eV per cell
- Space-group type: R3m
- Total moment: 0.0 μB per cell

2.
This record from Alexandria via LeMat-Bulk describes NdTm2Al after structural relaxation. The functional is GGA-PBE.

Cell lengths 5.3531, 5.3531, 5.3531 Å; angles 60.00, 60.00, 60.00 degrees
Last column: nearest neighbours and their distance in Å.
Fractional positions:
Tm: 0.2500 0.2500 0.2500  4 Nd 3.28, 4 Al 3.28
Tm: 0.7500 0.7500 0.7500  4 Al 3.28, 4 Nd 3.28
Nd: 0.0000 0.0000 0.0000  8 Tm 3.28
Al: 0.5000 0.5000 0.5000  8 Tm 3.28

Properties
- D(E_F): 6.271 states/eV per cell
- Space-group type: Fm-3m
- Total moment: 1.2 μB per cell

3.
This record from Alexandria via LeMat-Bulk describes NdTm2Al after structural relaxation. The functional is GGA-PBE.

Cell lengths 4.7630, 4.7764, 4.7764 Å; angles 90.00, 90.00, 90.00 degrees
Last column: nearest neighbours and their distance in Å.
Fractional positions:
Tm: 0.0000 0.0000 0.5000  4 Nd 3.37, 4 Al 3.37, 4 Tm 3.38
Tm: 0.0000 0.5000 0.0000  4 Nd 3.37, 4 Al 3.37, 4 Tm 3.38
Nd: 0.5000 0.0000 0.0000  8 Tm 3.37, 4 Al 3.38
Al: 0.5000 0.5000 0.5000  8 Tm 3.37, 4 Nd 3.38

Properties
- D(E_F): 5.025 states/eV per cell
- Space-group type: P4/mmm
- Total moment: 0.0 μB per cell

Which structure loses on stability? 2 does.